# PBE Pm2NdTmAs4, relaxed
# total magnetic moment	0.0000	μB/atom
# energy relative to the elements	-1.506	eV per atom
# E_tot	-6.174	eV/atom
data_Pm2NdTmAs4
_chemical_formula_sum 'Pm2 Nd1 Tm1 As4'
_cell_length_a 7.2812
_cell_length_b 4.2090
_cell_length_c 7.2814
_cell_angle_alpha 90.00
_cell_angle_beta 109.48
_cell_angle_gamma 90.00
_space_group_name_H-M_alt 'P 1 2/m 1'
_space_group_IT_number 10
loop_
_space_group_symop_operation_xyz
'x,y,z'
'-x,-y,-z'
'-x,y,-z'
'x,-y,z'
loop_
_atom_site_label
_atom_site_type_symbol
_atom_site_fract_x
_atom_site_fract_y
_atom_site_fract_z
Pm1 Pm 0.0000 0.0000 0.0000
Pm2 Pm 0.0000 0.5000 0.5000
Nd1 Nd 0.5000 0.0000 0.5000
Tm1 Tm 0.5000 0.5000 0.0000
As1 As 0.2523 0.5000 0.2450
As2 As 0.2566 0.0000 0.7579